Ta3GeB: optimized geometry, PBE.

Properties
The calculation puts the total energy at -47.3 eV per formula unit. The calculated volume comes out at 15.69 A^3/atom. As for the space group: P6_3/mmc, No. 194. As for the formation energy from the elements: -0.47 eV per formula unit.

a = 4.8663 Å, b = 6.1002 Å, c = 6.1002 Å
α = 119.97°, β = 90.00°, γ = 90.00°
Last column: nearest neighbours and their distance in Å.
Atoms (fractional coordinates):
1 Ge 0.7500 0.6665 0.3335  12 Ta 2.95-3.05
2 Ge 0.2500 0.3335 0.6665  12 Ta 2.95-3.05
3 Ta 0.2500 0.3494 0.1749  2 B 2.21
4 Ta 0.2500 0.8251 0.6506  2 B 2.21
5 Ta 0.7500 0.6506 0.8251  2 B 2.21
6 Ta 0.7500 0.1749 0.3494  2 B 2.21
7 Ta 0.7500 0.1748 0.8252  2 B 2.21
8 Ta 0.2500 0.8252 0.1748  2 B 2.21
9 B 0.0000 0.0000 0.0000  6 Ta 2.21, 2 B 2.43
10 B 0.5000 0.0000 0.0000  6 Ta 2.21, 2 B 2.43

YGa2Re2: optimized geometry, PBE.

Properties
The calculation puts the total energy at -37.5 eV per formula unit. The calculated volume comes out at 19.41 A^3/atom. As for the space group: I4/mmm, No. 139. As for the formation energy from the elements: -0.07 eV per formula unit.

a = 4.5282 Å, b = 4.5282 Å, c = 5.7153 Å
α = 66.66°, β = 66.66°, γ = 90.00°
Last column: nearest neighbours and their distance in Å.
Atoms (fractional coordinates):
1 Y 0.0000 0.0000 0.0000  8 Ga 3.28, 10 Re 3.40-3.59
2 Re 0.3787 0.3787 0.2425  1 Re 2.30, 4 Ga 2.57
3 Re 0.6213 0.6213 0.7575  1 Re 2.30, 4 Ga 2.57
4 Ga 0.2500 0.7500 0.5000  4 Re 2.57
5 Ga 0.7500 0.2500 0.5000  4 Re 2.57